No. 1
# LaI

An optimized crystal structure of LaI (GGA-PBE, Alexandria).

The raw formation energy comes out at -0.91 eV/atom. Its crystal system is tetragonal.

It has space group I4/m (No. 87), with a = 12.731 Å, b = 12.731 Å, c = 4.152 Å, α = 90.00°, β = 90.00° and γ = 90.00°. The asymmetric unit holds La at (0.101, 0.350, 0.000) and I at (0.106, 0.799, 0.000).

No. 2
# Sm2DyPd3

An optimized crystal structure of Sm2DyPd3 (GGA-PBE, Alexandria).

Its crystal system is orthorhombic. As for the calculated formation energy: -0.8222 eV/atom.

It has space group Cmmm (No. 65), with a = 5.073 Å, b = 15.319 Å, c = 3.473 Å, α = 90.00°, β = 90.00° and γ = 90.00°. The asymmetric unit holds Sm at (0.000, 0.167, 0.000), Dy at (0.000, 0.500, 0.000), Pd at (0.000, 0.000, 0.500) and Pd at (0.000, 0.341, 0.500).

No. 3
# KLiThS3

An optimized crystal structure of KLiThS3 (GGA-PBE, Alexandria).

The raw formation energy comes out at -1.68 eV/atom. Its crystal system is monoclinic.

It has space group P2_1/m (No. 11), with a = 9.002 Å, b = 4.203 Å, c = 9.069 Å, α = 90.00°, β = 104.39° and γ = 90.00°. The asymmetric unit holds K at (0.196, 0.250, 0.246), Li at (0.079, 0.250, 0.589), Th at (0.324, 0.750, 0.834), S at (0.134, 0.250, 0.867), S at (0.193, 0.750, 0.532) and S at (0.460, 0.750, 0.158).

No. 4
# TeS2Cl

An optimized crystal structure of TeS2Cl (GGA-PBE, Alexandria).

The raw formation energy comes out at 0.55 eV/atom. Its energy relative to the lowest polymorph listed for this composition is 2.293 eV/f.u. Its crystal system is cubic.

It has space group Fm-3m (No. 225), with a = 6.768 Å, b = 6.768 Å, c = 6.768 Å, α = 90.00°, β = 90.00° and γ = 90.00°. The asymmetric unit holds Te at (0.000, 0.000, 0.000), S at (0.250, 0.250, 0.250) and Cl at (0.000, 0.000, 0.500).

Listing calculated density for the structures above in their given order: 5.25, 9.63, 3.74, 4.87 Mg/m³.
Listing total energy for the structures above in their given order: -4.153, -5.759, -5.487, -2.762 eV/atom.